No. 1
## PrZn2SiIr2 (GGA-PBE)

Data for an optimized crystal structure of PrZn2SiIr2.

abc: 4.493 4.493 5.745
angles: 90.00 90.00 90.00
Site moments in Bohr magnetons follow the coordinates.
Element x y z (fractional)
1 Pr 0.000 0.000 0.500  0.01
2 Zn 0.500 0.500 0.727  0.00
3 Zn 0.500 0.500 0.273  0.00
4 Si 0.000 0.000 0.000  0.00
5 Ir 0.500 0.000 0.000  0.11
6 Ir 0.000 0.500 0.000  0.11

Results
Electronic total energy = -32.21 eV for the cell shown

=====

No. 2
## AcPmSmN3 (GGA-PBE)

Data for an optimized crystal structure of AcPmSmN3.

abc: 3.705 6.321 9.498
angles: 101.97 90.00 90.00
Element x y z (fractional)
1 Ac 0.750 0.658 0.701
2 Ac 0.250 0.342 0.299
3 Pm 0.250 0.150 0.643
4 Pm 0.750 0.850 0.357
5 Sm 0.250 0.771 0.043
6 Sm 0.750 0.229 0.957
7 N 0.250 0.754 0.485
8 N 0.750 0.025 0.147
9 N 0.750 0.534 0.168
10 N 0.750 0.246 0.515
11 N 0.250 0.466 0.832
12 N 0.250 0.975 0.853

Results
Electronic total energy = -91.60 eV for the cell shown

=====

No. 3
## Eu2CuH (GGA-PBE)

Data for an optimized crystal structure of Eu2CuH.

abc: 3.963 3.963 7.145
angles: 73.90 73.90 60.00
Site moments in Bohr magnetons follow the coordinates.
Element x y z (fractional)
1 Eu 0.261 0.261 0.217  6.96
2 Eu 0.739 0.739 0.783  6.96
3 H 0.000 0.000 0.000  -0.02
4 Cu 0.500 0.500 0.500  -0.01

Results
Energy above the most stable polymorph in this dataset = 0.000 eV per atom

=====

No. 4
## TbNdDy2 (GGA-PBE)

Data for an optimized crystal structure of TbNdDy2.

abc: 3.581 3.581 10.130
angles: 90.00 90.00 90.00
Element x y z (fractional)
1 Nd 0.500 0.500 0.000
2 Tb 0.500 0.500 0.500
3 Dy 0.000 0.000 0.746
4 Dy 0.000 0.000 0.254

Results
ΔE_f = 0.019 eV/atom
Energy above the most stable polymorph in this dataset = 0.022 eV per atom

=====

No. 5
## NaNdAu3 (GGA-PBE)

Data for an optimized crystal structure of NaNdAu3.

abc: 5.062 7.284 7.427
angles: 90.00 89.05 90.00
Element x y z (fractional)
1 Na 0.728 0.750 0.706
2 Na 0.272 0.250 0.294
3 Nd 0.746 0.750 0.218
4 Nd 0.254 0.250 0.782
5 Au 0.249 0.940 0.050
6 Au 0.751 0.060 0.950
7 Au 0.249 0.560 0.050
8 Au 0.751 0.440 0.950
9 Au 0.241 0.750 0.446
10 Au 0.759 0.250 0.554

Results
ΔE_f = -0.380 eV/atom

=====

No. 6
## RbLiCe2S4 (GGA-PBE)

Data for an optimized crystal structure of RbLiCe2S4.

abc: 4.181 7.301 14.280
angles: 90.00 90.00 106.64
Site moments in Bohr magnetons follow the coordinates.
Element x y z (fractional)
1 Rb 0.107 0.213 0.750  0.00
2 Rb 0.893 0.787 0.250  0.00
3 Li 0.833 0.665 0.750  0.00
4 Li 0.167 0.335 0.250  0.00
5 Ce 0.368 0.737 0.558  0.91
6 Ce 0.632 0.263 0.058  0.91
7 Ce 0.632 0.263 0.442  0.91
8 Ce 0.368 0.737 0.942  0.91
9 S 0.258 0.517 0.107  -0.02
10 S 0.742 0.483 0.607  -0.02
11 S 0.742 0.483 0.893  -0.02
12 S 0.258 0.517 0.393  -0.02
13 S 0.000 0.000 0.500  -0.03
14 S 0.000 0.000 0.000  -0.03
15 S 0.419 0.838 0.750  -0.02
16 S 0.581 0.162 0.250  -0.02

Results
Electronic total energy = -90.85 eV for the cell shown